[1]
Computed, not measured: an optimized crystal structure of Er2BeGa at the PBE level of DFT.

Properties
- magnetization (μB per atom) = 0.00
- space group = P4/mmm
- ΔH_f (0 K) (meV/atom) = -263
- calculated volume (Å³ per atom) = 20.59

a b c (Å): 3.4437 3.4437 6.9460
angles (deg): 90.00 90.00 90.00
Last column: nearest neighbours and their distance in Å.
Sites, in units of the cell vectors:
Er: 0.0000 0.0000 0.7654  4 Be 2.93, 4 Ga 3.05, 1 Er 3.26
Be: 0.5000 0.5000 0.0000  8 Er 2.93
Er: 0.0000 0.0000 0.2346  4 Be 2.93, 4 Ga 3.05, 1 Er 3.26
Ga: 0.5000 0.5000 0.5000  8 Er 3.05

***

[2]
Computed, not measured: an optimized crystal structure of Er2BeGa at the PBE level of DFT.

Properties
- magnetization (μB per atom) = 0.00
- space group = Fm-3m
- ΔH_f (0 K) (meV/atom) = -251
- calculated volume (Å³ per atom) = 20.70

a b c (Å): 4.8927 4.8927 4.8927
angles (deg): 60.00 60.00 60.00
Last column: nearest neighbours and their distance in Å.
Sites, in units of the cell vectors:
Er: 0.2500 0.2500 0.2500  4 Be 3.00, 4 Ga 3.00
Be: 0.5000 0.5000 0.5000  8 Er 3.00
Er: 0.7500 0.7500 0.7500  4 Be 3.00, 4 Ga 3.00
Ga: 0.0000 0.0000 0.0000  8 Er 3.00

***

[3]
Computed, not measured: an optimized crystal structure of Er2BeGa3 at the PBE level of DFT.

Properties
- magnetization (μB per atom) = 0.00
- space group = Fmmm
- ΔH_f (0 K) (meV/atom) = -532
- calculated volume (Å³ per atom) = 18.92

a b c (Å): 5.6002 5.6002 8.1802
angles (deg): 107.18 107.18 97.87
Last column: nearest neighbours and their distance in Å.
Sites, in units of the cell vectors:
Ga: 0.1739 0.6525 0.8264  1 Be 2.34, 2 Ga 2.54
Be: 0.3331 0.3331 0.6662  3 Ga 2.33-2.34
Ga: 0.6525 0.1739 0.8264  1 Be 2.34, 2 Ga 2.54
Ga: 0.3475 0.8261 0.1736  1 Be 2.34, 2 Ga 2.54
Er: 0.7500 0.2500 0.5000  8 Ga 3.01, 4 Be 3.05
Ga: 0.8261 0.3475 0.1736  1 Be 2.34, 2 Ga 2.54
Ga: 0.1735 0.1735 0.3471  1 Be 2.33, 2 Ga 2.54
Be: 0.6669 0.6669 0.3338  3 Ga 2.33-2.34
Er: 0.2463 0.2463 0.0000  10 Ga 3.03-3.12, 2 Be 3.07
Er: 0.7537 0.7537 0.0000  10 Ga 3.03-3.12, 2 Be 3.07
Er: 0.2500 0.7500 0.5000  8 Ga 3.01, 4 Be 3.05
Ga: 0.8265 0.8265 0.6529  1 Be 2.33, 2 Ga 2.54

***

[4]
Computed, not measured: an optimized crystal structure of ErBe2Ga2 at the PBE level of DFT.

Properties
- magnetization (μB per atom) = 0.00
- space group = P4/nmm
- ΔH_f (0 K) (meV/atom) = -364
- calculated volume (Å³ per atom) = 15.09

a b c (Å): 3.9198 3.9198 9.8182
angles (deg): 90.00 90.00 90.00
Last column: nearest neighbours and their distance in Å.
Sites, in units of the cell vectors:
Ga: 0.5000 0.5000 0.5000  4 Be 2.39
Be: 0.5000 0.5000 0.0000  4 Ga 2.34
Be: 0.5000 0.0000 0.6398  5 Ga 2.26-2.39
Be: 0.0000 0.0000 0.0000  4 Ga 2.34
Ga: 0.5000 0.0000 0.8696  5 Be 2.26-2.34
Er: 0.5000 0.0000 0.2451  8 Ga 2.99-3.18, 8 Be 2.99-3.10
Ga: 0.0000 0.0000 0.5000  4 Be 2.39
Er: 0.0000 0.5000 0.7549  8 Ga 2.99-3.18, 8 Be 2.99-3.10
Be: 0.0000 0.5000 0.3602  5 Ga 2.26-2.39
Ga: 0.0000 0.5000 0.1304  5 Be 2.26-2.34

***

[5]
Computed, not measured: an optimized crystal structure of Er2BeGa at the PBE level of DFT.

Properties
- magnetization (μB per atom) = 0.00
- space group = R-3m
- ΔH_f (0 K) (meV/atom) = 477
- calculated volume (Å³ per atom) = 25.17

a b c (Å): 3.3775 3.3775 10.3756
angles (deg): 80.63 80.63 60.00
Last column: nearest neighbours and their distance in Å.
Sites, in units of the cell vectors:
Be: 0.0000 0.0000 0.0000  2 Er 2.89
Er: 0.0944 0.0944 0.7168  1 Be 2.89, 3 Ga 2.95
Ga: 0.5000 0.5000 0.5000  6 Er 2.95
Er: 0.9056 0.9056 0.2832  1 Be 2.89, 3 Ga 2.95

***

[6]
Computed, not measured: an optimized crystal structure of Er12Be3Ga5 at the PBE level of DFT.

Properties
- magnetization (μB per atom) = 0.00
- space group = Ia-3d
- ΔH_f (0 K) (meV/atom) = 309
- calculated volume (Å³ per atom) = 29.02

a b c (Å): 14.4472 14.4472 14.4472
angles (deg): 109.47 109.47 109.47
Last column: nearest neighbours and their distance in Å.
Sites, in units of the cell vectors:
Er: 0.5948 0.7247 0.6670  2 Ga 2.76-2.80, 1 Be 2.94
Ga: 0.5000 0.5000 0.5000  6 Er 2.80
Be: 0.8750 0.7500 0.1250  8 Er 2.94-3.20
Er: 0.9278 0.8330 0.5577  2 Ga 2.76-2.80, 1 Be 2.94
Ga: 0.7500 0.6250 0.3750  4 Er 2.76
Be: 0.2500 0.1250 0.3750  8 Er 2.94-3.20
Er: 0.4052 0.2753 0.3330  2 Ga 2.76-2.80, 1 Be 2.94
Er: 0.0948 0.1670 0.2247  2 Ga 2.76-2.80, 1 Be 2.94
Ga: 0.0000 0.0000 0.0000  6 Er 2.80
Be: 0.7500 0.8750 0.6250  8 Er 2.94-3.20
Er: 0.1300 0.4052 0.0722  2 Ga 2.76-2.80, 1 Be 2.94
Ga: 0.0000 0.5000 0.0000  6 Er 2.80
Ga: 0.5000 0.5000 0.0000  6 Er 2.80
Er: 0.7247 0.5948 0.1670  2 Ga 2.76-2.80, 1 Be 2.94
Er: 0.3330 0.7753 0.4052  2 Ga 2.76-2.80, 1 Be 2.94
Er: 0.9052 0.0722 0.6300  2 Ga 2.76-2.80, 1 Be 2.94
Er: 0.9423 0.5722 0.1670  2 Ga 2.76-2.80, 1 Be 2.94
Er: 0.9052 0.8330 0.7753  2 Ga 2.76-2.80, 1 Be 2.94
Ga: 0.6250 0.7500 0.8750  4 Er 2.76
Ga: 0.1250 0.7500 0.3750  4 Er 2.76
Be: 0.3750 0.6250 0.2500  8 Er 2.94-3.20
Ga: 0.6250 0.8750 0.2500  4 Er 2.76
Er: 0.9278 0.0948 0.8700  2 Ga 2.76-2.80, 1 Be 2.94
Er: 0.2753 0.8700 0.9423  2 Ga 2.76-2.80, 1 Be 2.94
Ga: 0.7500 0.1250 0.8750  4 Er 2.76
Er: 0.8330 0.9278 0.0577  2 Ga 2.76-2.80, 1 Be 2.94
Be: 0.3750 0.7500 0.6250  8 Er 2.94-3.20
Ga: 0.1250 0.3750 0.2500  4 Er 2.76
Er: 0.0722 0.9052 0.1300  2 Ga 2.76-2.80, 1 Be 2.94
Er: 0.0722 0.1670 0.4423  2 Ga 2.76-2.80, 1 Be 2.94
Be: 0.7500 0.3750 0.1250  8 Er 2.94-3.20
Er: 0.4423 0.6670 0.0722  2 Ga 2.76-2.80, 1 Be 2.94
Er: 0.0948 0.9278 0.3700  2 Ga 2.76-2.80, 1 Be 2.94
Er: 0.7247 0.1300 0.0577  2 Ga 2.76-2.80, 1 Be 2.94
Er: 0.8330 0.9052 0.2753  2 Ga 2.76-2.80, 1 Be 2.94
Ga: 0.0000 0.0000 0.5000  6 Er 2.80
Er: 0.5722 0.6300 0.4052  2 Ga 2.76-2.80, 1 Be 2.94
Be: 0.8750 0.1250 0.2500  8 Er 2.94-3.20
Er: 0.4278 0.0577 0.3330  2 Ga 2.76-2.80, 1 Be 2.94
Be: 0.1250 0.8750 0.7500  8 Er 2.94-3.20
Ga: 0.5000 0.0000 0.0000  6 Er 2.80
Er: 0.6300 0.0577 0.2247  2 Ga 2.76-2.80, 1 Be 2.94
Er: 0.5722 0.9423 0.6670  2 Ga 2.76-2.80, 1 Be 2.94
Er: 0.3330 0.5577 0.4278  2 Ga 2.76-2.80, 1 Be 2.94
Er: 0.1670 0.0948 0.7247  2 Ga 2.76-2.80, 1 Be 2.94
Ga: 0.8750 0.6250 0.7500  4 Er 2.76
Er: 0.8700 0.5948 0.9278  2 Ga 2.76-2.80, 1 Be 2.94
Er: 0.0577 0.4278 0.8330  2 Ga 2.76-2.80, 1 Be 2.94
Er: 0.1300 0.7247 0.5577  2 Ga 2.76-2.80, 1 Be 2.94
Er: 0.5577 0.3330 0.9278  2 Ga 2.76-2.80, 1 Be 2.94
Be: 0.6250 0.3750 0.7500  8 Er 2.94-3.20
Er: 0.2247 0.5577 0.6300  2 Ga 2.76-2.80, 1 Be 2.94
Ga: 0.3750 0.1250 0.7500  4 Er 2.76
Er: 0.4278 0.3700 0.5948  2 Ga 2.76-2.80, 1 Be 2.94
Er: 0.5577 0.2247 0.1300  2 Ga 2.76-2.80, 1 Be 2.94
Be: 0.1250 0.2500 0.8750  8 Er 2.94-3.20
Er: 0.1670 0.0722 0.9423  2 Ga 2.76-2.80, 1 Be 2.94
Be: 0.6250 0.2500 0.3750  8 Er 2.94-3.20
Er: 0.8700 0.2753 0.4423  2 Ga 2.76-2.80, 1 Be 2.94
Er: 0.3700 0.9423 0.7753  2 Ga 2.76-2.80, 1 Be 2.94
Ga: 0.3750 0.2500 0.1250  4 Er 2.76
Er: 0.9423 0.3700 0.2753  2 Ga 2.76-2.80, 1 Be 2.94
Er: 0.2247 0.6670 0.0948  2 Ga 2.76-2.80, 1 Be 2.94
Er: 0.4052 0.1300 0.5722  2 Ga 2.76-2.80, 1 Be 2.94
Er: 0.0577 0.6300 0.7247  2 Ga 2.76-2.80, 1 Be 2.94
Ga: 0.2500 0.8750 0.1250  4 Er 2.76
Er: 0.2753 0.4052 0.8330  2 Ga 2.76-2.80, 1 Be 2.94
Er: 0.6300 0.5722 0.9052  2 Ga 2.76-2.80, 1 Be 2.94
Ga: 0.5000 0.0000 0.5000  6 Er 2.80
Er: 0.6670 0.2247 0.5948  2 Ga 2.76-2.80, 1 Be 2.94
Ga: 0.8750 0.2500 0.6250  4 Er 2.76
Ga: 0.0000 0.5000 0.5000  6 Er 2.80
Be: 0.2500 0.6250 0.8750  8 Er 2.94-3.20
Er: 0.7753 0.3330 0.9052  2 Ga 2.76-2.80, 1 Be 2.94
Er: 0.7753 0.4423 0.3700  2 Ga 2.76-2.80, 1 Be 2.94
Er: 0.5948 0.8700 0.4278  2 Ga 2.76-2.80, 1 Be 2.94
Ga: 0.2500 0.3750 0.6250  4 Er 2.76
Er: 0.3700 0.4278 0.0948  2 Ga 2.76-2.80, 1 Be 2.94
Er: 0.4423 0.7753 0.8700  2 Ga 2.76-2.80, 1 Be 2.94
Er: 0.6670 0.4423 0.5722  2 Ga 2.76-2.80, 1 Be 2.94

***

[7]
Computed, not measured: an optimized crystal structure of Er2Be2GaIr5 at the PBE level of DFT.

Properties
- magnetization (μB per atom) = 0.00
- space group = P4/mbm
- ΔH_f (0 K) (meV/atom) = -771
- calculated volume (Å³ per atom) = 14.86

a b c (Å): 3.1725 9.6783 9.6783
angles (deg): 90.00 90.00 90.00
Last column: nearest neighbours and their distance in Å.
Sites, in units of the cell vectors:
Ir: 0.5000 0.9347 0.2120  2 Be 2.32
Ir: 0.5000 0.4347 0.2880  2 Be 2.32
Ir: 0.5000 0.2120 0.0653  2 Be 2.32
Er: 0.0000 0.3229 0.8229  3 Be 2.74-2.95, 10 Ir 2.90-3.03
Ir: 0.5000 0.7120 0.4347  2 Be 2.32
Ga: 0.0000 0.0000 0.0000  8 Ir 2.67
Be: 0.0000 0.3770 0.1230  6 Ir 2.31-2.32
Ir: 0.5000 0.0000 0.5000  4 Be 2.31
Ir: 0.5000 0.0653 0.7880  2 Be 2.32
Er: 0.0000 0.1771 0.3229  3 Be 2.74-2.95, 10 Ir 2.90-3.03
Ir: 0.5000 0.7880 0.9347  2 Be 2.32
Ga: 0.0000 0.5000 0.5000  8 Ir 2.67
Er: 0.0000 0.8229 0.6771  3 Be 2.74-2.95, 10 Ir 2.90-3.03
Ir: 0.5000 0.5000 0.0000  4 Be 2.31
Be: 0.0000 0.1230 0.6230  6 Ir 2.31-2.32
Ir: 0.5000 0.5653 0.7120  2 Be 2.32
Ir: 0.5000 0.2880 0.5653  2 Be 2.32
Er: 0.0000 0.6771 0.1771  3 Be 2.74-2.95, 10 Ir 2.90-3.03
Be: 0.0000 0.8770 0.3770  6 Ir 2.31-2.32
Be: 0.0000 0.6230 0.8770  6 Ir 2.31-2.32

***

[8]
Computed, not measured: an optimized crystal structure of Er2BeGaIr2 at the PBE level of DFT.

Properties
- magnetization (μB per atom) = 0.00
- space group = Ibam
- ΔH_f (0 K) (meV/atom) = -734
- calculated volume (Å³ per atom) = 18.14

a b c (Å): 5.6782 5.6665 7.8659
angles (deg): 111.11 111.16 90.00
Last column: nearest neighbours and their distance in Å.
Sites, in units of the cell vectors:
Er: 0.5954 0.8282 0.6564  5 Ir 2.87-3.06, 2 Ga 3.03, 2 Be 3.12
Be: 0.5000 0.2500 0.0000  4 Ir 2.38
Er: 0.0610 0.3282 0.6564  5 Ir 2.87-3.06, 2 Ga 3.03, 2 Be 3.12
Ir: 0.1756 0.8916 0.7832  2 Be 2.38, 2 Ga 2.60
Ga: 0.0000 0.2500 0.0000  4 Ir 2.60, 2 Ga 2.83, 2 Be 2.84
Ir: 0.3925 0.6084 0.2168  2 Be 2.38, 2 Ga 2.60
Ir: 0.6075 0.3916 0.7832  2 Be 2.38, 2 Ga 2.60
Be: 0.5000 0.7500 0.0000  4 Ir 2.38
Er: 0.9390 0.6718 0.3436  5 Ir 2.87-3.06, 2 Ga 3.03, 2 Be 3.12
Ir: 0.8244 0.1084 0.2168  2 Be 2.38, 2 Ga 2.60
Ga: 0.0000 0.7500 0.0000  4 Ir 2.60, 2 Ga 2.83, 2 Be 2.84
Er: 0.4046 0.1718 0.3436  5 Ir 2.87-3.06, 2 Ga 3.03, 2 Be 3.12